Here is crystalline SbTePt2 at its relaxed geometry from Alexandria via LeMat-Bulk. Energies are from PBE.

Unit cell a=5.637 b=5.637 c=5.637 alpha=137.35 beta=137.35 gamma=61.91
Positions (direct):
Te1 0.750 0.250 0.500
Pt1 0.250 0.750 0.500
Pt2 0.000 0.000 0.000
Sb1 0.500 0.500 0.000

ΔE_f (raw)	102	meV per atom
space group	I-4m2, No. 119
total moment	0.00	μB/atom

=====

Here is crystalline Si2NiPd at its relaxed geometry from Alexandria via LeMat-Bulk. Energies are from PBE.

Unit cell a=3.949 b=3.949 c=4.617 alpha=64.68 beta=64.68 gamma=60.00
Positions (direct):
Pd1 0.000 0.000 0.000
Ni1 0.500 0.500 0.500
Si1 0.224 0.224 0.327
Si2 0.776 0.776 0.673

ΔE_f (raw)	-221	meV per atom
space group	R-3m, No. 166
relative energy among the computed polymorphs	290	meV/atom
total moment	0.00	μB/atom

=====

Here is crystalline CsErSnSe3 at its relaxed geometry from Alexandria via LeMat-Bulk. Energies are from PBE.

Unit cell a=4.113 b=9.206 c=11.924 alpha=90.00 beta=90.00 gamma=102.91
Positions (direct):
Se1 0.003 0.005 0.250
Se2 0.392 0.784 0.505
Se3 0.608 0.216 0.005
Se4 0.997 0.995 0.750
Se5 0.392 0.784 0.995
Se6 0.608 0.216 0.495
Er1 0.000 0.000 0.000
Er2 0.000 0.000 0.500
Cs1 0.302 0.605 0.250
Cs2 0.698 0.395 0.750
Sn1 0.606 0.212 0.250
Sn2 0.394 0.788 0.750

ΔE_f (raw)	-1203	meV per atom
space group	Cmcm, No. 63
total moment	0.00	μB/atom

=====

Here is crystalline Rb6H2ClF3 at its relaxed geometry from Alexandria via LeMat-Bulk. Energies are from PBE.

Unit cell a=4.234 b=8.547 c=9.530 alpha=103.35 beta=102.84 gamma=90.00
Positions (direct):
Rb1 0.996 0.276 0.992
Rb2 0.666 0.588 0.331
Rb3 0.324 0.918 0.648
Rb4 0.004 0.724 0.008
Rb5 0.334 0.412 0.669
Rb6 0.676 0.082 0.352
F1 0.167 0.828 0.335
F2 0.500 0.500 0.000
F3 0.833 0.172 0.665
H1 0.831 0.663 0.663
H2 0.169 0.337 0.337
Cl1 0.500 0.000 0.000

final energy	-3.36	eV per atom
space group	C2/m, No. 12
total moment	0.00	μB/atom

=====

Here is crystalline Pm3PuRh8 at its relaxed geometry from Alexandria via LeMat-Bulk. Energies are from PBE.

Unit cell a=5.382 b=5.382 c=9.335 alpha=73.25 beta=73.25 gamma=60.00
Positions (direct):
Pu1 0.875 0.875 0.375
Rh1 0.937 0.937 0.686
Rh2 0.688 0.688 0.937
Rh3 0.937 0.439 0.686
Rh4 0.437 0.936 0.189
Rh5 0.439 0.937 0.686
Rh6 0.188 0.188 0.437
Rh7 0.936 0.437 0.189
Rh8 0.437 0.437 0.189
Pm1 0.999 0.999 0.003
Pm2 0.375 0.375 0.875
Pm3 0.501 0.501 0.497

space group	R3m, No. 160
total moment	0.41	μB/atom
energy relative to the elements	-14.34	kcal/mol of atoms

=====

Here is crystalline NbSb3I at its relaxed geometry from Alexandria via LeMat-Bulk. Energies are from PBE.

Unit cell a=5.633 b=5.633 c=5.633 alpha=90.00 beta=90.00 gamma=90.00
Positions (direct):
I1 0.000 0.000 0.000
Nb1 0.500 0.500 0.500
Sb1 0.000 0.000 0.500
Sb2 0.000 0.500 0.000
Sb3 0.500 0.000 0.000

ΔE_f (raw)	1622	meV per atom
space group	Pm-3m, No. 221
relative energy among the computed polymorphs	1441	meV/atom
total moment	0.51	μB/atom

=====

Here is crystalline CuPbS2Br at its relaxed geometry from Alexandria via LeMat-Bulk. Energies are from PBE.

Unit cell a=4.448 b=6.125 c=4.448 alpha=90.00 beta=90.00 gamma=90.00
Positions (direct):
S1 0.000 0.000 0.500
S2 0.500 0.000 0.000
Cu1 0.000 0.000 0.000
Br1 0.500 0.500 0.500
Pb1 0.000 0.500 0.000

ΔE_f (raw)	32	meV per atom
space group	P4/mmm, No. 123
total moment	0.00	μB/atom

=====

Here is crystalline Mn2ZnCo at its relaxed geometry from Alexandria via LeMat-Bulk. Energies are from PBE.

Unit cell a=4.844 b=4.844 c=4.844 alpha=146.52 beta=130.14 gamma=61.40
Positions (direct):
Zn1 0.750 0.250 0.500
Co1 0.250 0.750 0.500
Mn1 0.484 0.484 0.000
Mn2 0.016 0.016 0.000

space group	Immm, No. 71
total moment	1.15	μB/atom
energy relative to the elements	3.75	kcal/mol of atoms

=====

Here is crystalline LiPrMg4 at its relaxed geometry from Alexandria via LeMat-Bulk. Energies are from PBE.

Unit cell a=6.050 b=6.050 c=6.050 alpha=60.00 beta=60.00 gamma=60.00
Positions (direct):
Li1 0.250 0.250 0.250
Mg1 0.125 0.625 0.625
Mg2 0.625 0.625 0.125
Mg3 0.625 0.625 0.625
Mg4 0.625 0.125 0.625
Pr1 0.000 0.000 0.000

space group	F-43m, No. 216
relative energy among the computed polymorphs	64	meV/atom
total moment	0.00	μB/atom
energy relative to the elements	-0.02	kcal/mol of atoms